Record 1
Material: CeEr2Tm
Method: DFT, PBE-GGA
State: optimized geometry

```
CeEr2Tm
1.0
3.495 0.000 -0.005
-1.747 3.027 0.005
-1.730 -1.019 11.410
Er Ce Tm
2 1 1
Direct
0.832 0.416 0.248
0.168 0.584 0.752
0.668 0.834 0.502
0.999 0.999 0.999
```

Density, g cm⁻³: 8.9
Energy of formation from the pure elements, meV per atom: 55
Space-group type: R3m, No. 160
Polymorph energy (0 for the lowest one), meV per atom: 0
M_tot, μB per cell: 0.8

Record 2
Material: IrC2
Method: DFT, PBE-GGA
State: optimized geometry

```
IrC2
1.0
3.456 0.000 0.000
0.000 2.845 0.000
-0.938 0.000 3.917
Ir C
1 2
Direct
0.144 0.500 0.471
0.274 0.500 0.972
0.596 0.500 0.235
```

Density, g cm⁻³: 9.3
Energy of formation from the pure elements, meV per atom: 1156
Space-group type: Pm, No. 6
Polymorph energy (0 for the lowest one), meV per atom: 566
M_tot, μB per cell: 0.0